[1]
VASP calculation (PBE) on a relaxed structure of MgPtSO.

Lattice parameters (Å, degrees): 6.1053 13.0419 6.5142 90.00 90.00 90.00
Closest atoms and distances in Å follow each position.
Positions (direct):
Mg (0.5463, 0.2464, 0.3685)  3 O 1.95-1.97
Pt (0.2498, 0.5555, 0.5050)  4 S 2.32-2.36
Mg (0.9537, 0.7536, 0.8685)  3 O 1.95-1.97
O (0.2238, 0.2480, 0.3811)  3 Mg 1.95-1.97
Pt (0.2502, 0.4445, 0.0050)  4 S 2.32-2.36
Pt (0.7502, 0.4445, 0.4950)  4 S 2.32-2.36
Mg (0.4537, 0.7464, 0.1315)  3 O 1.95-1.97
Mg (0.9537, 0.7464, 0.3685)  3 O 1.95-1.97
Mg (0.4537, 0.7536, 0.6315)  3 O 1.95-1.97
S (0.0008, 0.0016, 0.2495)  4 Pt 2.32-2.36
O (0.2762, 0.7480, 0.3811)  3 Mg 1.95-1.97
Pt (0.2498, 0.9445, 0.0050)  4 S 2.32-2.36
Mg (0.0463, 0.2464, 0.1315)  3 O 1.95-1.97
Pt (0.7502, 0.0555, 0.9950)  4 S 2.32-2.36
S (0.4992, 0.5016, 0.2495)  4 Pt 2.32-2.36
Mg (0.0463, 0.2536, 0.6315)  3 O 1.95-1.97
S (0.9992, 0.5016, 0.2505)  4 Pt 2.32-2.36
S (0.9992, 0.9984, 0.7505)  4 Pt 2.32-2.36
S (0.5008, 0.0016, 0.2505)  4 Pt 2.32-2.36
O (0.7762, 0.7480, 0.1189)  3 Mg 1.95-1.97
Pt (0.2502, 0.0555, 0.5050)  4 S 2.32-2.36
S (0.4992, 0.9984, 0.7495)  4 Pt 2.32-2.36
O (0.2238, 0.2519, 0.8811)  3 Mg 1.95-1.97
O (0.2762, 0.7519, 0.8811)  3 Mg 1.95-1.97
Pt (0.7498, 0.9445, 0.4950)  4 S 2.32-2.36
Mg (0.5463, 0.2536, 0.8685)  3 O 1.95-1.97
O (0.7238, 0.2480, 0.1189)  3 Mg 1.95-1.97
O (0.7762, 0.7519, 0.6189)  3 Mg 1.95-1.97
S (0.0008, 0.4984, 0.7495)  4 Pt 2.32-2.36
Pt (0.7498, 0.5555, 0.9950)  4 S 2.32-2.36
O (0.7238, 0.2519, 0.6189)  3 Mg 1.95-1.97
S (0.5008, 0.4984, 0.7505)  4 Pt 2.32-2.36

**Space group**: No. 61
**Energy relative to the lowest polymorph listed for this composition**: 30.9 meV per atom
**Uncorrected energy**: -5.276 eV/atom
**Mass density**: 6.85 g/cm³

=====

[2]
VASP calculation (PBE) on a relaxed structure of MgPtSO.

Lattice parameters (Å, degrees): 3.5862 3.5862 11.5133 90.00 90.00 90.00
Closest atoms and distances in Å follow each position.
Positions (direct):
O (0.2500, 0.2500, 0.4122)  1 Mg 1.94
Mg (0.7500, 0.7500, 0.4193)  1 O 1.94
S (0.7500, 0.7500, 0.8534)  4 Pt 2.46
S (0.2500, 0.2500, 0.1466)  4 Pt 2.46
Pt (0.2500, 0.7500, 0.0000)  4 S 2.46, 4 Pt 2.54
Mg (0.2500, 0.2500, 0.5807)  1 O 1.94
O (0.7500, 0.7500, 0.5878)  1 Mg 1.94
Pt (0.7500, 0.2500, 0.0000)  4 S 2.46, 4 Pt 2.54

**Space group**: No. 129
**Energy relative to the lowest polymorph listed for this composition**: 530.5 meV per atom
**Uncorrected energy**: -4.776 eV/atom
**Mass density**: 6.00 g/cm³

=====

[3]
VASP calculation (PBE) on a relaxed structure of MgPtSO.

Lattice parameters (Å, degrees): 4.0203 4.0203 7.6350 90.00 90.00 90.00
Closest atoms and distances in Å follow each position.
Positions (direct):
Mg (0.2500, 0.7500, 0.0000)  4 Pt 2.64, 4 Mg 2.84, 4 S 2.95
S (0.7500, 0.7500, 0.7180)  1 O 1.51
Mg (0.7500, 0.2500, 0.0000)  4 Pt 2.64, 4 Mg 2.84, 4 S 2.95
S (0.2500, 0.2500, 0.2820)  1 O 1.51
Pt (0.7500, 0.7500, 0.2245)  1 O 2.26
Pt (0.2500, 0.2500, 0.7755)  1 O 2.26
O (0.7500, 0.7500, 0.5204)  1 S 1.51
O (0.2500, 0.2500, 0.4796)  1 S 1.51

**Space group**: No. 129
**Energy relative to the lowest polymorph listed for this composition**: 806.7 meV per atom
**Uncorrected energy**: -4.500 eV/atom
**Mass density**: 7.20 g/cm³

=====

[4]
VASP calculation (PBE) on a relaxed structure of MgPtSO.

Lattice parameters (Å, degrees): 3.7460 3.7460 8.6399 90.00 90.00 90.00
Closest atoms and distances in Å follow each position.
Positions (direct):
Pt (0.2500, 0.2500, 0.8621)  1 S 2.32
Pt (0.7500, 0.7500, 0.1379)  1 S 2.32
O (0.2500, 0.7500, 0.5000)  4 Mg 1.92
O (0.7500, 0.2500, 0.5000)  4 Mg 1.92
S (0.2500, 0.2500, 0.1312)  1 Pt 2.32
Mg (0.7500, 0.7500, 0.5501)  4 O 1.92
Mg (0.2500, 0.2500, 0.4499)  4 O 1.92
S (0.7500, 0.7500, 0.8688)  1 Pt 2.32

**Space group**: No. 129
**Energy relative to the lowest polymorph listed for this composition**: 210.6 meV per atom
**Uncorrected energy**: -5.096 eV/atom
**Mass density**: 7.33 g/cm³

=====

[5]
VASP calculation (PBE) on a relaxed structure of MgPtSO.

Lattice parameters (Å, degrees): 5.2942 7.2400 6.2620 90.00 90.00 90.00
Closest atoms and distances in Å follow each position.
Positions (direct):
O (0.6140, 0.1909, 0.6248)  2 Pt 2.03-2.06, 2 Mg 2.04
S (0.3872, 0.3684, 0.1255)  1 Pt 2.32, 2 Mg 2.48-2.49
Mg (0.7494, 0.3427, 0.8751)  2 O 2.04
S (0.1128, 0.3684, 0.6255)  1 Pt 2.32, 2 Mg 2.48-2.49
Pt (0.7634, 0.9324, 0.6246)  2 O 2.03-2.06
Pt (0.7366, 0.9324, 0.1246)  2 O 2.03-2.06
Mg (0.2506, 0.6573, 0.3751)  2 O 2.04
O (0.1140, 0.8091, 0.6248)  2 Pt 2.03-2.06, 2 Mg 2.04
S (0.6128, 0.6316, 0.6255)  1 Pt 2.32, 2 Mg 2.48-2.49
Pt (0.2366, 0.0676, 0.1246)  2 O 2.03-2.06
Mg (0.2494, 0.6573, 0.8751)  2 O 2.04
Mg (0.7506, 0.3427, 0.3751)  2 O 2.04
O (0.3860, 0.8091, 0.1248)  2 Pt 2.03-2.06, 2 Mg 2.04
O (0.8860, 0.1909, 0.1248)  2 Pt 2.03-2.06, 2 Mg 2.04
Pt (0.2634, 0.0676, 0.6246)  2 O 2.03-2.06
S (0.8872, 0.6316, 0.1255)  1 Pt 2.32, 2 Mg 2.48-2.49

**Space group**: No. 29
**Energy relative to the lowest polymorph listed for this composition**: 244.4 meV per atom
**Uncorrected energy**: -5.062 eV/atom
**Mass density**: 7.40 g/cm³

=====

[6]
VASP calculation (PBE) on a relaxed structure of MgPtSO.

Lattice parameters (Å, degrees): 3.9558 3.9558 9.3013 90.00 90.00 90.00
Closest atoms and distances in Å follow each position.
Positions (direct):
O (0.7500, 0.2500, 0.5000)  4 Pt 2.06
Pt (0.2500, 0.2500, 0.4393)  4 O 2.06
Mg (0.2500, 0.2500, 0.8753)  1 S 2.47
S (0.2500, 0.2500, 0.1405)  1 Mg 2.47
Mg (0.7500, 0.7500, 0.1247)  1 S 2.47
Pt (0.7500, 0.7500, 0.5607)  4 O 2.06
S (0.7500, 0.7500, 0.8595)  1 Mg 2.47
O (0.2500, 0.7500, 0.5000)  4 Pt 2.06

**Space group**: No. 129
**Energy relative to the lowest polymorph listed for this composition**: 783.9 meV per atom
**Uncorrected energy**: -4.523 eV/atom
**Mass density**: 6.10 g/cm³

=====

[7]
VASP calculation (PBE) on a relaxed structure of Mg3ReO6.

Lattice parameters (Å, degrees): 5.1160 5.2709 9.0844 90.00 124.09 90.00
Closest atoms and distances in Å follow each position.
Positions (direct):
O (0.3754, 0.1740, 0.0562)  1 Re 1.92, 2 Mg 2.00-2.03
O (0.6246, 0.8259, 0.9438)  1 Re 1.92, 2 Mg 2.00-2.03
O (0.8863, 0.5758, 0.2596)  1 Re 1.96, 3 Mg 2.03-2.10
O (0.1137, 0.0758, 0.2404)  1 Re 1.96, 3 Mg 2.03-2.10
O (0.8863, 0.9242, 0.7596)  1 Re 1.96, 3 Mg 2.03-2.10
O (0.1137, 0.4242, 0.7404)  1 Re 1.96, 3 Mg 2.03-2.10
Mg (0.5000, 0.5000, 0.0000)  6 O 2.00-2.10
O (0.3754, 0.3260, 0.5562)  1 Re 1.92, 2 Mg 2.00-2.03
O (0.7568, 0.3074, 0.9204)  1 Re 1.92, 2 Mg 2.05-2.08
Re (0.0000, 0.0000, 0.0000)  6 O 1.92-1.96
O (0.6246, 0.6741, 0.4438)  1 Re 1.92, 2 Mg 2.00-2.03
Mg (0.7370, 0.5507, 0.7379)  4 O 2.03-2.08
Mg (0.7370, 0.9493, 0.2379)  4 O 2.03-2.08
Mg (0.5000, 0.0000, 0.5000)  6 O 2.00-2.10
Mg (0.2630, 0.4493, 0.2621)  4 O 2.03-2.08
Mg (0.2630, 0.0507, 0.7621)  4 O 2.03-2.08
Re (0.0000, 0.5000, 0.5000)  6 O 1.92-1.96
O (0.2432, 0.8074, 0.5796)  1 Re 1.92, 2 Mg 2.05-2.08
O (0.2432, 0.6926, 0.0796)  1 Re 1.92, 2 Mg 2.05-2.08
O (0.7568, 0.1926, 0.4204)  1 Re 1.92, 2 Mg 2.05-2.08

**Space group**: No. 14
**Energy relative to the lowest polymorph listed for this composition**: 29.2 meV per atom
**Uncorrected energy**: -6.868 eV/atom
**Mass density**: 5.81 g/cm³

=====

[8]
VASP calculation (PBE) on a relaxed structure of Mg3ReO6.

Lattice parameters (Å, degrees): 5.9968 5.9968 5.9968 91.35 91.35 91.35
Closest atoms and distances in Å follow each position.
Positions (direct):
Re (0.0000, 0.0000, 0.0000)  6 O 1.93
O (0.5955, 0.8041, 0.4501)  1 Re 1.93, 2 Mg 2.01-2.06
Mg (0.5615, 0.0677, 0.2526)  6 O 2.01-2.20
O (0.6983, 0.0730, 0.9193)  1 Re 1.93, 1 Mg 2.01
O (0.4501, 0.5955, 0.8041)  1 Re 1.93, 2 Mg 2.01-2.06
Mg (0.9323, 0.7474, 0.4385)  6 O 2.01-2.20
O (0.8041, 0.4501, 0.5955)  1 Re 1.93, 2 Mg 2.01-2.06
O (0.0730, 0.9193, 0.6983)  1 Re 1.93, 1 Mg 2.01
Mg (0.4385, 0.9323, 0.7474)  6 O 2.01-2.20
O (0.9270, 0.0807, 0.3017)  1 Re 1.93, 1 Mg 2.01
O (0.4045, 0.1959, 0.5499)  1 Re 1.93, 2 Mg 2.01-2.06
O (0.0807, 0.3017, 0.9270)  1 Re 1.93, 1 Mg 2.01
Mg (0.0677, 0.2526, 0.5615)  6 O 2.01-2.20
O (0.9193, 0.6983, 0.0730)  1 Re 1.93, 1 Mg 2.01
O (0.3017, 0.9270, 0.0807)  1 Re 1.93, 1 Mg 2.01
Mg (0.2526, 0.5615, 0.0677)  6 O 2.01-2.20
O (0.5499, 0.4045, 0.1959)  1 Re 1.93, 2 Mg 2.01-2.06
Re (0.5000, 0.5000, 0.5000)  6 O 1.93
O (0.1959, 0.5499, 0.4045)  1 Re 1.93, 2 Mg 2.01-2.06
Mg (0.7474, 0.4385, 0.9323)  6 O 2.01-2.20

**Space group**: No. 148
**Energy relative to the lowest polymorph listed for this composition**: 0.0 meV per atom
**Uncorrected energy**: -6.897 eV/atom
**Mass density**: 5.47 g/cm³

=====

[9]
VASP calculation (PBE) on a relaxed structure of Sm3Mg2Sb3O14.

Lattice parameters (Å, degrees): 7.2055 7.2055 7.2055 61.67 61.67 61.67
Closest atoms and distances in Å follow each position.
Positions (direct):
O (0.3252, 0.3252, 0.9167)  2 Sb 2.00
Sb (0.0000, 0.0000, 0.5000)  6 O 1.95-2.00
Sm (0.5000, 0.5000, 0.0000)  8 O 2.32-2.54
Sm (0.0000, 0.5000, 0.5000)  8 O 2.32-2.54
O (0.9167, 0.3252, 0.3252)  2 Sb 2.00
O (0.6139, 0.6139, 0.6139)  1 Mg 1.98
O (0.0880, 0.0880, 0.6563)  1 Sb 1.95, 1 Mg 2.08
O (0.6748, 0.0833, 0.6748)  2 Sb 2.00
O (0.9120, 0.3437, 0.9120)  1 Sb 1.95, 1 Mg 2.08
O (0.0833, 0.6748, 0.6748)  2 Sb 2.00
O (0.6748, 0.6748, 0.0833)  2 Sb 2.00
Mg (0.5000, 0.5000, 0.5000)  2 O 1.98
Sm (0.5000, 0.0000, 0.5000)  8 O 2.32-2.54
Mg (0.0000, 0.0000, 0.0000)  6 O 2.08
O (0.6563, 0.0880, 0.0880)  1 Sb 1.95, 1 Mg 2.08
O (0.0880, 0.6563, 0.0880)  1 Sb 1.95, 1 Mg 2.08
O (0.9120, 0.9120, 0.3437)  1 Sb 1.95, 1 Mg 2.08
O (0.3437, 0.9120, 0.9120)  1 Sb 1.95, 1 Mg 2.08
Sb (0.0000, 0.5000, 0.0000)  6 O 1.95-2.00
O (0.3861, 0.3861, 0.3861)  1 Mg 1.98
O (0.3252, 0.9167, 0.3252)  2 Sb 2.00
Sb (0.5000, 0.0000, 0.0000)  6 O 1.95-2.00

**Space group**: No. 166
**Uncorrected energy**: -6.950 eV/atom
**Mass density**: 6.59 g/cm³

=====

[10]
VASP calculation (PBE) on a relaxed structure of MgZnSeO.

Lattice parameters (Å, degrees): 3.5445 5.7838 6.3407 90.00 73.77 90.00
Closest atoms and distances in Å follow each position.
Positions (direct):
Zn (0.5858, 0.2500, 0.8284)  4 O 2.51, 2 Se 2.52
Se (0.2324, 0.2500, 0.5353)  2 Zn 2.52, 2 Mg 2.61
O (0.0000, 0.5000, 0.0000)  2 Mg 1.98
O (0.0000, 0.0000, 0.0000)  2 Mg 1.98
Zn (0.4142, 0.7500, 0.1716)  4 O 2.51, 2 Se 2.52
Se (0.7676, 0.7500, 0.4647)  2 Zn 2.52, 2 Mg 2.61
Mg (0.1108, 0.7500, 0.7785)  2 O 1.98
Mg (0.8892, 0.2500, 0.2215)  2 O 1.98

**Space group**: No. 63
**Energy relative to the lowest polymorph listed for this composition**: 570.9 meV per atom
**Uncorrected energy**: -3.756 eV/atom
**Mass density**: 4.91 g/cm³

=====

[11]
VASP calculation (PBE) on a relaxed structure of MgZnSeO.

Lattice parameters (Å, degrees): 5.5927 3.5949 13.0018 90.00 90.00 90.00
Closest atoms and distances in Å follow each position.
Positions (direct):
O (0.2781, 0.2500, 0.1723)  2 Zn 1.94-2.01, 2 Mg 2.06
Se (0.2641, 0.7500, 0.4229)  2 Zn 2.44, 1 Mg 2.68
Mg (0.2593, 0.2500, 0.5972)  2 O 2.06
Zn (0.8650, 0.7500, 0.6916)  2 O 1.94-2.01
Se (0.7641, 0.7500, 0.0771)  2 Zn 2.44, 1 Mg 2.68
Zn (0.1350, 0.2500, 0.3084)  2 O 1.94-2.01
Zn (0.6350, 0.2500, 0.1916)  2 O 1.94-2.01
Mg (0.7593, 0.2500, 0.9028)  2 O 2.06
O (0.7219, 0.7500, 0.8277)  2 Zn 1.94-2.01, 2 Mg 2.06
Zn (0.3650, 0.7500, 0.8084)  2 O 1.94-2.01
Se (0.2359, 0.2500, 0.9229)  2 Zn 2.44, 1 Mg 2.68
Mg (0.2407, 0.7500, 0.0972)  2 O 2.06
Mg (0.7407, 0.7500, 0.4028)  2 O 2.06
O (0.2219, 0.7500, 0.6723)  2 Zn 1.94-2.01, 2 Mg 2.06
Se (0.7359, 0.2500, 0.5771)  2 Zn 2.44, 1 Mg 2.68
O (0.7781, 0.2500, 0.3277)  2 Zn 1.94-2.01, 2 Mg 2.06

**Space group**: No. 62
**Energy relative to the lowest polymorph listed for this composition**: 94.3 meV per atom
**Uncorrected energy**: -4.232 eV/atom
**Mass density**: 4.69 g/cm³

=====

[12]
VASP calculation (PBE) on a relaxed structure of MgZnSeO.

Lattice parameters (Å, degrees): 6.5530 6.5530 5.8705 90.00 90.00 31.38
Closest atoms and distances in Å follow each position.
Positions (direct):
Mg (0.0530, 0.0530, 0.8607)  2 O 1.94
Se (0.3248, 0.3248, 0.5384)  3 Zn 2.47-2.72, 2 Mg 2.57
Zn (0.6651, 0.6651, 0.4589)  2 O 2.14
Zn (0.3349, 0.3349, 0.9589)  2 O 2.14
O (0.0775, 0.0775, 0.5347)  2 Mg 1.94, 2 Zn 2.14
Mg (0.9470, 0.9470, 0.3607)  2 O 1.94
O (0.9225, 0.9225, 0.0347)  2 Mg 1.94, 2 Zn 2.14
Se (0.6752, 0.6752, 0.0384)  3 Zn 2.47-2.72, 2 Mg 2.57

**Space group**: No. 36
**Energy relative to the lowest polymorph listed for this composition**: 183.1 meV per atom
**Uncorrected energy**: -4.143 eV/atom
**Mass density**: 4.67 g/cm³

=====

Q: Which value of uncorrected energy does entry 6 give?
A: -4.523 eV/atom

=====

Q: What is the mass density in the second record?
A: 6.00 g/cm³

=====

Q: What is the formula in the eighth record?
A: Mg3ReO6

=====

Q: Number 5 is which compound?
A: MgPtSO